[1]
ZrTa14W PBE relaxed; ΔH_f (0 K) = 0.03 eV/atom; N(E_F) = 23.1 states/eV/f.u.
1.0
-1.867 -5.443 -0.237
3.245 1.083 -4.633
7.629 -2.821 4.684
Zr Ta W
1 14 1
direct
0.125 0.875 0.500
0.125 0.875 0.000
0.625 0.375 0.000
0.125 0.375 0.500
0.125 0.375 0.000
0.625 0.875 0.500
0.625 0.875 0.000
0.384 0.134 0.750
0.384 0.134 0.250
0.866 0.616 0.750
0.866 0.616 0.250
0.372 0.628 0.752
0.372 0.628 0.248
0.878 0.122 0.752
0.878 0.122 0.248
0.625 0.375 0.500

=====

[2]
ZrTaW2 PBE relaxed; ΔH_f (0 K) = 0.11 eV/atom; N(E_F) = 5.0 states/eV/f.u.; energy above the lowest structure with this stoichiometry = 0.069 eV per atom
1.0
-5.056 0.989 -1.860
0.719 -4.409 3.099
-1.216 0.868 2.436
Ta W Zr
1 2 1
direct
0.500 0.500 0.000
0.000 0.000 0.000
0.500 0.000 0.500
0.000 0.500 0.500

=====

[3]
ZrTa2W PBE relaxed; ΔH_f (0 K) = 0.08 eV/atom; N(E_F) = 5.2 states/eV/f.u.; energy above the lowest structure with this stoichiometry = 0.042 eV per atom
1.0
-1.566 3.592 2.539
-2.624 -1.269 0.176
0.549 -3.044 4.646
Ta W Zr
2 1 1
direct
0.000 0.035 0.015
0.000 0.465 0.485
0.500 0.250 0.250
0.500 0.750 0.750

=====

[4]
ZrTa2W PBE relaxed; ΔH_f (0 K) = 0.26 eV/atom; N(E_F) = 4.6 states/eV/f.u.; energy above the lowest structure with this stoichiometry = 0.223 eV per atom
1.0
2.791 0.000 0.000
0.000 4.811 0.000
0.000 0.000 5.598
Ta W Zr
2 1 1
direct
0.000 0.000 0.005
0.500 0.500 0.253
0.000 0.000 0.493
0.500 0.500 0.749

=====

[5]
ZrTaW2 PBE relaxed; ΔH_f (0 K) = 0.08 eV/atom; N(E_F) = 4.5 states/eV/f.u.; energy above the lowest structure with this stoichiometry = 0.038 eV per atom
1.0
-0.866 4.019 -2.174
-3.908 2.347 0.920
0.193 4.006 2.354
Ta W Zr
1 2 1
direct
0.500 0.500 0.500
0.000 0.000 0.000
0.750 0.750 0.750
0.250 0.250 0.250

=====

[6]
YTa PBE relaxed; ΔH_f (0 K) = 2.86 eV/atom; N(E_F) = 3.9 states/eV/f.u.; energy above the lowest structure with this stoichiometry = 2.683 eV per atom
1.0
4.749 0.000 0.000
2.375 4.113 0.000
2.375 1.371 3.878
Ta Y
1 1
direct
0.000 0.000 0.000
0.750 0.750 0.750

=====

[7]
YTa PBE relaxed; ΔH_f (0 K) = 0.59 eV/atom; N(E_F) = 1.9 states/eV/f.u.; energy above the lowest structure with this stoichiometry = 0.412 eV per atom
1.0
-3.437 3.753 1.721
2.521 -3.159 3.539
5.963 5.257 0.444
Y Ta
4 4
direct
0.000 0.000 0.750
0.000 0.000 0.250
0.333 0.667 0.250
0.667 0.333 0.750
0.333 0.667 0.905
0.667 0.333 0.405
0.667 0.333 0.095
0.333 0.667 0.595

=====

[8]
YTa3 PBE relaxed; ΔH_f (0 K) = 0.40 eV/atom; N(E_F) = 4.7 states/eV/f.u.; energy above the lowest structure with this stoichiometry = 0.157 eV per atom
1.0
3.172 -5.494 0.000
3.172 5.494 0.000
0.000 0.000 5.008
Y Ta
2 6
direct
0.333 0.667 0.250
0.667 0.333 0.750
0.854 0.146 0.250
0.146 0.854 0.750
0.854 0.707 0.250
0.146 0.293 0.750
0.293 0.146 0.250
0.707 0.854 0.750